A relaxed structure of BeCrIO2, computed with GGA+U.

Unit cell a=3.7000 b=3.7000 c=6.8777 alpha=90.00 beta=90.00 gamma=90.00
Last column: nearest neighbours and their distance in Å.
Space group P4/mmm (No. 123)
One atom of each set of equivalent atoms:
Be  0.0000  0.0000  0.0000  4 I 2.62
Cr  0.5000  0.5000  0.5000  4 O 1.85
I  0.5000  0.5000  0.0000  4 Be 2.62
O  0.0000  0.5000  0.5000  2 Cr 1.85

Summary:
The mass density is 3.9 g cm⁻³. For the size of the total moment, the calculation gives 2.3 μB/f.u. As for the energy above the most stable polymorph in this dataset: 0.00 eV/f.u.